Entry 1:
Compound: Sb2TeAuN
Source: Alexandria via LeMat-Bulk
Functional: PBE
Structure: optimized geometry

Computed properties:
raw total energy = -3.93 eV per atom
ΔE_f (raw) = 665 meV per atom
size of the total moment = 0.000 Bohr magnetons per cell
N(E_F) = 2.13 states/eV/cell

Cell: 4.8304 4.8304 4.6227 Å, 90.00 90.00 90.00°
With the nearest neighbours (Å) after each atom.
Fractional positions:
Sb: 0.0000 0.5000 0.0000  2 N 2.42
Sb: 0.5000 0.0000 0.0000  2 N 2.42
Te: 0.0000 0.0000 0.5000  2 N 2.31
Au: 0.5000 0.5000 0.5000  8 Sb 3.34, 4 Te 3.42
N: 0.0000 0.0000 0.0000  2 Te 2.31, 4 Sb 2.42

Entry 2:
Compound: Ba2Ag2SeS2
Source: Alexandria via LeMat-Bulk
Functional: PBE
Structure: optimized geometry

Computed properties:
raw total energy = -4.23 eV per atom
ΔE_f (raw) = -1191 meV per atom
size of the total moment = 0.000 Bohr magnetons per cell

Cell: 4.4806 6.3532 8.6133 Å, 61.14 104.98 89.92°
With the nearest neighbours (Å) after each atom.
Fractional positions:
Ba: 0.3417 0.1234 0.6827  4 S 3.14-3.25, 2 Se 3.24-3.25
Ba: 0.6583 0.8766 0.3173  4 S 3.14-3.25, 2 Se 3.24-3.25
Ag: 0.9027 0.4956 0.8089  2 S 2.56, 1 Se 2.73
Ag: 0.0973 0.5044 0.1911  2 S 2.56, 1 Se 2.73
Se: 0.0000 0.0000 0.0000  2 Ag 2.73
S: 0.6791 0.3434 0.3555  2 Ag 2.56
S: 0.3209 0.6566 0.6445  2 Ag 2.56

Entry 3:
Compound: Tl2HgW2
Source: Alexandria via LeMat-Bulk
Functional: PBE
Structure: optimized geometry

Computed properties:
raw total energy = -4.87 eV per atom
ΔE_f = 1320 meV/atom
size of the total moment = 0.000 Bohr magnetons per cell
N(E_F) = 3.78 states/eV/cell

Cell: 4.0768 4.0768 7.3547 Å, 73.91 73.91 90.00°
With the nearest neighbours (Å) after each atom.
Fractional positions:
Tl: 0.7500 0.2500 0.5000  4 Tl 2.88, 4 W 3.00
Tl: 0.2500 0.7500 0.5000  4 Tl 2.88, 4 W 3.00
Hg: 0.0000 0.0000 0.0000  8 W 3.11
W: 0.4131 0.4131 0.1737  1 W 2.35
W: 0.5869 0.5869 0.8263  1 W 2.35

Entry 4:
Compound: CsIn3Mo
Source: Alexandria via LeMat-Bulk
Functional: PBE
Structure: optimized geometry

Computed properties:
raw total energy = -2.06 eV per atom
ΔE_f = 1922 meV/atom
size of the total moment = 4.024 Bohr magnetons per cell
N(E_F) = 6.82 states/eV/cell

Cell: 6.3345 6.3345 6.3345 Å, 90.00 90.00 90.00°
With the nearest neighbours (Å) after each atom.
Fractional positions:
Cs: 0.0000 0.0000 0.0000  6 In 3.17
Mo: 0.5000 0.5000 0.5000  12 In 4.48
In: 0.0000 0.5000 0.0000  2 Cs 3.17
In: 0.0000 0.0000 0.5000  2 Cs 3.17
In: 0.5000 0.0000 0.0000  2 Cs 3.17

Entry 5:
Compound: K2LiMn
Source: Alexandria via LeMat-Bulk
Functional: PBE
Structure: optimized geometry

Computed properties:
raw total energy = -2.63 eV per atom
ΔE_f = 693 meV/atom
size of the total moment = 4.424 Bohr magnetons per cell
N(E_F) = 3.98 states/eV/cell

Cell: 6.5136 6.5136 6.5136 Å, 130.40 130.40 72.77°
With the nearest neighbours (Å) after each atom.
Fractional positions:
K: 0.0000 0.0000 0.0000  4 Mn 3.79, 4 Li 3.79, 4 K 3.86
K: 0.5000 0.5000 0.0000  4 Li 3.79, 4 Mn 3.79, 4 K 3.86
Li: 0.2500 0.7500 0.5000  8 K 3.79, 4 Mn 3.86
Mn: 0.7500 0.2500 0.5000  8 K 3.79, 4 Li 3.86

Entry 6:
Compound: Tb2Pr3Zn3
Source: Alexandria via LeMat-Bulk
Functional: PBE
Structure: optimized geometry

Computed properties:
raw total energy = -3.65 eV per atom
ΔE_f = -227 meV/atom
size of the total moment = 0.001 Bohr magnetons per cell
N(E_F) = 9.29 states/eV/cell

Cell: 3.7084 5.3640 11.4216 Å, 103.58 99.34 90.00°
With the nearest neighbours (Å) after each atom.
Fractional positions:
Tb: 0.7302 0.2302 0.4603  2 Zn 3.05, 4 Tb 3.37
Tb: 0.2698 0.7698 0.5397  2 Zn 3.05, 4 Tb 3.37
Pr: 0.6191 0.6191 0.2383  6 Zn 3.20-3.26
Pr: 0.3809 0.3809 0.7617  6 Zn 3.20-3.26
Pr: 0.5000 0.0000 0.0000  8 Zn 3.21-3.26
Zn: 0.1197 0.1197 0.2394  2 Tb 3.05, 6 Pr 3.21-3.26
Zn: 0.0000 0.5000 0.0000  8 Pr 3.20-3.26
Zn: 0.8803 0.8803 0.7606  2 Tb 3.05, 6 Pr 3.21-3.26

Entry 7:
Compound: As3Os5
Source: Alexandria via LeMat-Bulk
Functional: PBE
Structure: optimized geometry

Computed properties:
raw total energy = -7.90 eV per atom
ΔE_f = 861 meV/atom
size of the total moment = 0.004 Bohr magnetons per cell
N(E_F) = 20.18 states/eV/cell

Cell: 6.9360 6.9360 5.9117 Å, 90.00 90.00 120.00°
With the nearest neighbours (Å) after each atom.
Fractional positions:
As: 0.5854 0.0000 0.2500  7 Os 2.49-2.56
As: 0.4146 0.0000 0.7500  7 Os 2.49-2.56
As: 0.0000 0.5854 0.2500  7 Os 2.49-2.56
As: 0.4146 0.4146 0.2500  7 Os 2.49-2.56
As: 0.5854 0.5854 0.7500  7 Os 2.49-2.56
As: 0.0000 0.4146 0.7500  7 Os 2.49-2.56
Os: 0.3333 0.6667 0.0000  6 As 2.56
Os: 0.6667 0.3333 0.5000  6 As 2.56
Os: 0.6667 0.3333 0.0000  6 As 2.56
Os: 0.3333 0.6667 0.5000  6 As 2.56
Os: 0.2255 0.0000 0.2500  3 As 2.49-2.50, 2 Os 2.71
Os: 0.7745 0.0000 0.7500  3 As 2.49-2.50, 2 Os 2.71
Os: 0.0000 0.2255 0.2500  3 As 2.49-2.50, 2 Os 2.71
Os: 0.7745 0.7745 0.2500  3 As 2.49-2.50, 2 Os 2.71
Os: 0.2255 0.2255 0.7500  3 As 2.49-2.50, 2 Os 2.71
Os: 0.0000 0.7745 0.7500  3 As 2.49-2.50, 2 Os 2.71

Entry 8:
Compound: TaIr2
Source: Alexandria via LeMat-Bulk
Functional: PBE
Structure: optimized geometry

Computed properties:
raw total energy = -9.41 eV per atom
ΔE_f = 449 meV/atom
size of the total moment = 0.000 Bohr magnetons per cell
N(E_F) = 10.75 states/eV/cell

Cell: 6.1559 6.1559 6.1559 Å, 90.00 90.00 90.00°
With the nearest neighbours (Å) after each atom.
Fractional positions:
Ir: 0.3841 0.3841 0.3841  1 Ir 2.47, 3 Ta 2.57
Ir: 0.6159 0.6159 0.6159  1 Ir 2.47, 3 Ta 2.57
Ir: 0.8841 0.1159 0.6159  1 Ir 2.47, 3 Ta 2.57
Ir: 0.1159 0.8841 0.3841  1 Ir 2.47, 3 Ta 2.57
Ir: 0.6159 0.8841 0.1159  1 Ir 2.47, 3 Ta 2.57
Ir: 0.3841 0.1159 0.8841  1 Ir 2.47, 3 Ta 2.57
Ir: 0.1159 0.6159 0.8841  1 Ir 2.47, 3 Ta 2.57
Ir: 0.8841 0.3841 0.1159  1 Ir 2.47, 3 Ta 2.57
Ta: 0.0000 0.0000 0.0000  6 Ir 2.57
Ta: 0.5000 0.5000 0.0000  6 Ir 2.57
Ta: 0.5000 0.0000 0.5000  6 Ir 2.57
Ta: 0.0000 0.5000 0.5000  6 Ir 2.57